TaCdMo2: single point on PBEsol structure, meta-GGA SCAN.

a b c (Å): 2.6899 2.6899 9.3220
angles (deg): 90.00 90.00 90.00
Last column: nearest neighbours and their distance in Å.
Element x y z (fractional)
Ta1 0.0000 0.0000 0.0000  4 Ta 2.69, 8 Mo 3.01
Cd1 0.0000 0.0000 0.5000  4 Cd 2.69, 8 Mo 3.01
Mo1 0.5000 0.5000 0.2497  4 Mo 2.69, 4 Ta 3.01, 4 Cd 3.01
Mo2 0.5000 0.5000 0.7503  4 Mo 2.69, 4 Ta 3.01, 4 Cd 3.01

Computed properties:
E: -41.38 eV/atom
space group: P4/mmm (123)

---

TaCdMo2: single point on PBEsol structure, meta-GGA SCAN.

a b c (Å): 2.6914 4.3938 5.6790
angles (deg): 90.00 90.00 90.00
Last column: nearest neighbours and their distance in Å.
Element x y z (fractional)
Ta1 0.0000 0.0000 0.0000  2 Ta 2.69, 6 Mo 2.70-2.98, 4 Cd 2.97
Cd1 0.5000 0.5000 0.2616  2 Cd 2.69, 6 Mo 2.80-2.98, 4 Ta 2.97
Mo1 0.0000 0.0000 0.5240  6 Mo 2.69-2.89, 2 Ta 2.70-2.98, 4 Cd 2.98
Mo2 0.5000 0.5000 0.7545  6 Mo 2.69-2.89, 2 Cd 2.80-2.88, 4 Ta 2.93

Computed properties:
E: -41.34 eV/atom
space group: Pmm2 (25)

---

Ta2CdMo: single point on PBEsol structure, meta-GGA SCAN.

a b c (Å): 2.7510 2.7510 9.2588
angles (deg): 90.00 90.00 90.00
Last column: nearest neighbours and their distance in Å.
Element x y z (fractional)
Ta1 0.0000 0.0000 0.0000  8 Ta 2.75-3.01, 4 Mo 3.01
Ta2 0.5000 0.5000 0.2474  8 Ta 2.75-3.01
Cd1 0.0000 0.0000 0.5056  4 Cd 2.75, 4 Mo 2.99
Mo1 0.5000 0.5000 0.7514  4 Mo 2.75, 4 Cd 2.99, 4 Ta 3.01

Computed properties:
E: -49.37 eV/atom
space group: P4mm (99)

---

Ta4CdMo: single point on PBEsol structure, meta-GGA SCAN.

a b c (Å): 5.3725 5.3725 5.3725
angles (deg): 60.00 60.00 60.00
Last column: nearest neighbours and their distance in Å.
Element x y z (fractional)
Ta1 0.1235 0.1235 0.1235  6 Ta 2.65-2.72
Ta2 0.1235 0.1235 0.6295  6 Ta 2.65-2.72
Ta3 0.1235 0.6295 0.1235  6 Ta 2.65-2.72
Ta4 0.6295 0.1235 0.1235  6 Ta 2.65-2.72
Cd1 0.5000 0.5000 0.5000  12 Ta 3.15, 4 Mo 3.29
Mo1 0.7500 0.7500 0.7500  12 Ta 3.15, 4 Cd 3.29

Computed properties:
E: -54.83 eV/atom
space group: F-43m (216)

---

TaCdMo2: single point on PBEsol structure, meta-GGA SCAN.

a b c (Å): 9.5103 2.6728 5.3013
angles (deg): 90.00 95.29 90.00
Last column: nearest neighbours and their distance in Å.
Element x y z (fractional)
Ta1 0.0000 0.0000 0.0000  2 Ta 2.67, 6 Mo 2.80-2.96, 4 Cd 2.97
Ta2 0.5000 0.5000 0.0000  2 Ta 2.67, 6 Mo 2.80-2.96, 4 Cd 2.97
Cd1 0.0000 0.5000 0.5000  2 Cd 2.67, 6 Mo 2.86-2.91, 4 Ta 2.97
Cd2 0.5000 0.0000 0.5000  2 Cd 2.67, 6 Mo 2.86-2.91, 4 Ta 2.97
Mo1 0.2466 0.0000 0.7498  6 Mo 2.67-2.97, 3 Ta 2.80-2.96, 3 Cd 2.86-2.91
Mo2 0.2534 0.5000 0.2502  6 Mo 2.67-2.97, 3 Ta 2.80-2.96, 3 Cd 2.86-2.91
Mo3 0.7466 0.5000 0.7498  6 Mo 2.67-2.97, 3 Ta 2.80-2.96, 3 Cd 2.86-2.91
Mo4 0.7534 0.0000 0.2502  6 Mo 2.67-2.97, 3 Ta 2.80-2.96, 3 Cd 2.86-2.91

Computed properties:
E: -41.30 eV/atom
space group: C2/m (12)

---

TaCdMo2: single point on PBEsol structure, meta-GGA SCAN.

a b c (Å): 3.9409 3.9409 8.6131
angles (deg): 90.00 90.00 90.00
Last column: nearest neighbours and their distance in Å.
Element x y z (fractional)
Ta1 0.0000 0.0000 0.0000  4 Cd 2.79, 8 Mo 2.92
Ta2 0.5000 0.5000 0.5000  4 Cd 2.79, 8 Mo 2.92
Cd1 0.0000 0.0000 0.5000  4 Ta 2.79, 8 Mo 2.92
Cd2 0.5000 0.5000 0.0000  4 Ta 2.79, 8 Mo 2.92
Mo1 0.0000 0.5000 0.2500  4 Mo 2.79, 4 Cd 2.92, 4 Ta 2.92
Mo2 0.0000 0.5000 0.7500  4 Mo 2.79, 4 Ta 2.92, 4 Cd 2.92
Mo3 0.5000 0.0000 0.2500  4 Mo 2.79, 4 Cd 2.92, 4 Ta 2.92
Mo4 0.5000 0.0000 0.7500  4 Mo 2.79, 4 Ta 2.92, 4 Cd 2.92

Computed properties:
E: -41.25 eV/atom
space group: I4/mmm (139)

---

Ta2CdMo: single point on PBEsol structure, meta-GGA SCAN.

a b c (Å): 9.6336 2.7496 5.2806
angles (deg): 90.00 94.18 90.00
Last column: nearest neighbours and their distance in Å.
Element x y z (fractional)
Ta1 0.2438 0.0000 0.2555  6 Ta 2.75-3.04, 3 Mo 2.76-3.03, 3 Cd 2.90-2.96
Ta2 0.2562 0.5000 0.7445  6 Ta 2.75-3.04, 3 Mo 2.76-3.03, 3 Cd 2.90-2.96
Ta3 0.7438 0.5000 0.2555  6 Ta 2.75-3.04, 3 Mo 2.76-3.03, 3 Cd 2.90-2.96
Ta4 0.7562 0.0000 0.7445  6 Ta 2.75-3.04, 3 Mo 2.76-3.03, 3 Cd 2.90-2.96
Cd1 0.0000 0.5000 0.0000  2 Cd 2.75, 6 Ta 2.90-2.96, 4 Mo 2.98
Cd2 0.5000 0.0000 0.0000  2 Cd 2.75, 6 Ta 2.90-2.96, 4 Mo 2.98
Mo1 0.0000 0.0000 0.5000  2 Mo 2.75, 6 Ta 2.76-3.03, 4 Cd 2.98
Mo2 0.5000 0.5000 0.5000  2 Mo 2.75, 6 Ta 2.76-3.03, 4 Cd 2.98

Computed properties:
E: -49.32 eV/atom
space group: C2/m (12)

---

Ta2TiCdMo: single point on PBEsol structure, meta-GGA SCAN.

a b c (Å): 4.6899 4.6899 5.0924
angles (deg): 90.00 90.00 90.00
Last column: nearest neighbours and their distance in Å.
Element x y z (fractional)
Ta1 0.0000 0.5000 0.0000  2 Mo 2.34
Ta2 0.5000 0.0000 0.0000  2 Mo 2.34
Ti1 0.0000 0.0000 0.5000  4 Cd 3.32, 8 Ta 3.46
Cd1 0.5000 0.5000 0.5000  2 Mo 2.55
Mo1 0.5000 0.5000 0.0000  4 Ta 2.34, 2 Cd 2.55

Computed properties:
E: -41.56 eV/atom
space group: P4/mmm (123)

---

CdTcMo2: single point on PBEsol structure, meta-GGA SCAN.

a b c (Å): 3.1223 4.4245 9.2118
angles (deg): 90.00 90.00 90.00
Last column: nearest neighbours and their distance in Å.
Element x y z (fractional)
Cd1 0.0000 0.0000 0.0000  4 Cd 2.71, 4 Mo 2.94
Cd2 0.5000 0.5000 0.0000  4 Cd 2.71, 4 Mo 2.94
Tc1 0.0000 0.0000 0.5000  4 Mo 2.63, 4 Tc 2.71
Tc2 0.5000 0.5000 0.5000  4 Mo 2.63, 4 Tc 2.71
Mo1 0.0000 0.5000 0.2702  2 Tc 2.63, 4 Mo 2.71, 2 Cd 2.94
Mo2 0.0000 0.5000 0.7298  2 Tc 2.63, 4 Mo 2.71, 2 Cd 2.94
Mo3 0.5000 0.0000 0.2702  2 Tc 2.63, 4 Mo 2.71, 2 Cd 2.94
Mo4 0.5000 0.0000 0.7298  2 Tc 2.63, 4 Mo 2.71, 2 Cd 2.94

Computed properties:
E: -33.54 eV/atom
space group: Cmmm (65)

---

CdTcMo2: single point on PBEsol structure, meta-GGA SCAN.

a b c (Å): 3.3217 3.3217 5.9215
angles (deg): 90.00 90.00 90.00
Last column: nearest neighbours and their distance in Å.
Element x y z (fractional)
Cd1 0.0000 0.0000 0.0000  8 Mo 2.92, 2 Tc 2.96
Tc1 0.0000 0.0000 0.5000  8 Mo 2.65, 2 Cd 2.96
Mo1 0.5000 0.5000 0.2941  1 Mo 2.44, 4 Tc 2.65
Mo2 0.5000 0.5000 0.7059  1 Mo 2.44, 4 Tc 2.65

Computed properties:
E: -33.45 eV/atom
space group: P4/mmm (123)

---

CdTcMo2: single point on PBEsol structure, meta-GGA SCAN.

a b c (Å): 3.9184 3.9184 4.0491
angles (deg): 90.00 90.00 90.00
Last column: nearest neighbours and their distance in Å.
Element x y z (fractional)
Cd1 0.0000 0.0000 0.0000  4 Tc 2.77, 8 Mo 2.82
Tc1 0.5000 0.5000 0.0000  4 Cd 2.77, 8 Mo 2.82
Mo1 0.0000 0.5000 0.5000  4 Mo 2.77, 4 Cd 2.82, 4 Tc 2.82
Mo2 0.5000 0.0000 0.5000  4 Mo 2.77, 4 Cd 2.82, 4 Tc 2.82

Computed properties:
E: -33.39 eV/atom
space group: P4/mmm (123)

---

CdTcMo2: single point on PBEsol structure, meta-GGA SCAN.

a b c (Å): 3.9039 3.9039 8.1897
angles (deg): 90.00 90.00 90.00
Last column: nearest neighbours and their distance in Å.
Element x y z (fractional)
Cd1 0.0000 0.0000 0.0000  4 Tc 2.76, 8 Mo 2.83
Cd2 0.5000 0.5000 0.5000  4 Tc 2.76, 8 Mo 2.83
Tc1 0.0000 0.0000 0.5000  4 Cd 2.76, 8 Mo 2.83
Tc2 0.5000 0.5000 0.0000  4 Cd 2.76, 8 Mo 2.83
Mo1 0.0000 0.5000 0.2500  4 Mo 2.76, 4 Cd 2.83, 4 Tc 2.83
Mo2 0.0000 0.5000 0.7500  4 Mo 2.76, 4 Cd 2.83, 4 Tc 2.83
Mo3 0.5000 0.0000 0.2500  4 Mo 2.76, 4 Cd 2.83, 4 Tc 2.83
Mo4 0.5000 0.0000 0.7500  4 Mo 2.76, 4 Cd 2.83, 4 Tc 2.83

Computed properties:
E: -33.37 eV/atom
space group: I4/mmm (139)

---

Cd2TeMo: single point on PBEsol structure, meta-GGA SCAN.

a b c (Å): 4.0643 4.0643 4.8560
angles (deg): 90.00 90.00 90.00
Last column: nearest neighbours and their distance in Å.
Element x y z (fractional)
Cd1 0.0000 0.5000 0.0000  4 Cd 2.87, 4 Mo 3.17, 4 Te 3.17
Cd2 0.5000 0.0000 0.0000  4 Cd 2.87, 4 Mo 3.17, 4 Te 3.17
Te1 0.0000 0.0000 0.5000  4 Mo 2.87, 8 Cd 3.17
Mo1 0.5000 0.5000 0.5000  4 Te 2.87, 8 Cd 3.17

Computed properties:
E: -32.71 eV/atom
space group: P4/mmm (123)

---

Cd2TeMo: single point on PBEsol structure, meta-GGA SCAN.

a b c (Å): 3.4852 4.4798 5.0409
angles (deg): 90.00 90.00 90.00
Last column: nearest neighbours and their distance in Å.
Element x y z (fractional)
Cd1 0.0000 0.0000 0.0000  4 Cd 2.84, 4 Mo 3.06
Cd2 0.5000 0.5000 0.0000  4 Cd 2.84, 4 Te 3.06
Te1 0.0000 0.5000 0.5000  4 Mo 2.84, 4 Cd 3.06
Mo1 0.5000 0.0000 0.5000  4 Te 2.84, 4 Cd 3.06

Computed properties:
E: -32.68 eV/atom
space group: Pmmm (47)

---

Cd2TeMo: single point on PBEsol structure, meta-GGA SCAN.

a b c (Å): 2.9867 4.7669 5.6187
angles (deg): 90.00 90.00 90.00
Last column: nearest neighbours and their distance in Å.
Element x y z (fractional)
Cd1 0.0000 0.0000 0.2348  1 Cd 2.64
Cd2 0.0000 0.0000 0.7652  1 Cd 2.64
Te1 0.5000 0.5000 0.5000  2 Mo 2.81, 2 Te 2.99
Mo1 0.5000 0.5000 0.0000  2 Te 2.81, 2 Mo 2.99, 8 Cd 3.11

Computed properties:
E: -32.62 eV/atom
space group: Pmmm (47)

---

Cd2TeMo: single point on PBEsol structure, meta-GGA SCAN.

a b c (Å): 4.2930 4.2930 8.6806
angles (deg): 90.00 90.00 90.00
Last column: nearest neighbours and their distance in Å.
Element x y z (fractional)
Cd1 0.0000 0.0000 0.0000  4 Mo 3.04, 4 Cd 3.05, 4 Te 3.05
Cd2 0.0000 0.5000 0.2500  4 Te 3.04, 4 Cd 3.05, 4 Mo 3.05
Cd3 0.5000 0.0000 0.7500  4 Te 3.04, 4 Cd 3.05, 4 Mo 3.05
Cd4 0.5000 0.5000 0.5000  4 Mo 3.04, 4 Cd 3.05, 4 Te 3.05
Te1 0.0000 0.5000 0.7500  8 Cd 3.04-3.05, 4 Mo 3.05
Te2 0.5000 0.0000 0.2500  8 Cd 3.04-3.05, 4 Mo 3.05
Mo1 0.0000 0.0000 0.5000  8 Cd 3.04-3.05, 4 Te 3.05
Mo2 0.5000 0.5000 0.0000  8 Cd 3.04-3.05, 4 Te 3.05

Computed properties:
E: -32.77 eV/atom
space group: I-4m2 (119)

---

TlCdMo: single point on PBEsol structure, meta-GGA SCAN.

a b c (Å): 3.0178 3.0178 7.4450
angles (deg): 90.00 90.00 120.00
Last column: nearest neighbours and their distance in Å.
Element x y z (fractional)
Tl1 0.0000 0.0000 0.0000  3 Mo 2.97, 6 Tl 3.02, 3 Cd 3.23
Cd1 0.6667 0.3333 0.6341  3 Mo 2.90, 6 Cd 3.02, 3 Tl 3.23
Mo1 0.3333 0.6667 0.3227  3 Cd 2.90, 3 Tl 2.97, 6 Mo 3.02

Computed properties:
E: -45.27 eV/atom
space group: P3m1 (156)

---

Tl2CdMo: single point on PBEsol structure, meta-GGA SCAN.

a b c (Å): 3.5725 4.9222 9.6728
angles (deg): 90.00 90.00 90.00
Last column: nearest neighbours and their distance in Å.
Element x y z (fractional)
Tl1 0.0000 0.0000 0.2324  2 Mo 2.87, 4 Tl 3.04, 2 Cd 3.14
Tl2 0.0000 0.0000 0.7676  2 Mo 2.87, 4 Tl 3.04, 2 Cd 3.14
Tl3 0.5000 0.5000 0.2324  2 Mo 2.87, 4 Tl 3.04, 2 Cd 3.14
Tl4 0.5000 0.5000 0.7676  2 Mo 2.87, 4 Tl 3.04, 2 Cd 3.14
Cd1 0.0000 0.5000 0.5000  4 Cd 3.04, 4 Tl 3.14
Cd2 0.5000 0.0000 0.5000  4 Cd 3.04, 4 Tl 3.14
Mo1 0.0000 0.5000 0.0000  4 Tl 2.87, 4 Mo 3.04
Mo2 0.5000 0.0000 0.0000  4 Tl 2.87, 4 Mo 3.04

Computed properties:
offset from the most stable computed form: 0.041 eV per atom
space group: Cmmm (65)

---

Tl2CdMo: single point on PBEsol structure, meta-GGA SCAN.

a b c (Å): 4.0840 4.0840 9.6539
angles (deg): 90.00 90.00 90.00
Last column: nearest neighbours and their distance in Å.
Element x y z (fractional)
Tl1 0.0000 0.0000 0.0000  4 Cd 2.89, 4 Tl 3.16, 4 Mo 3.16
Tl2 0.0000 0.5000 0.2500  4 Mo 2.89, 4 Cd 3.16, 4 Tl 3.16
Tl3 0.5000 0.0000 0.7500  4 Mo 2.89, 4 Cd 3.16, 4 Tl 3.16
Tl4 0.5000 0.5000 0.5000  4 Cd 2.89, 4 Tl 3.16, 4 Mo 3.16
Cd1 0.0000 0.0000 0.5000  8 Tl 2.89-3.16, 4 Mo 3.16
Cd2 0.5000 0.5000 0.0000  8 Tl 2.89-3.16, 4 Mo 3.16
Mo1 0.0000 0.5000 0.7500  8 Tl 2.89-3.16, 4 Cd 3.16
Mo2 0.5000 0.0000 0.2500  8 Tl 2.89-3.16, 4 Cd 3.16

Computed properties:
offset from the most stable computed form: 0.000 eV per atom
space group: I-4m2 (119)

---

TlCdMo2: single point on PBEsol structure, meta-GGA SCAN.

a b c (Å): 6.5770 6.5770 6.5770
angles (deg): 90.00 90.00 90.00
Last column: nearest neighbours and their distance in Å.
Element x y z (fractional)
Tl1 0.0000 0.0000 0.0000  4 Cd 2.85, 4 Mo 2.85
Tl2 0.0000 0.5000 0.5000  4 Cd 2.85, 4 Mo 2.85
Tl3 0.5000 0.0000 0.5000  4 Cd 2.85, 4 Mo 2.85
Tl4 0.5000 0.5000 0.0000  4 Cd 2.85, 4 Mo 2.85
Cd1 0.2500 0.2500 0.2500  4 Tl 2.85, 4 Mo 2.85
Cd2 0.2500 0.7500 0.7500  4 Tl 2.85, 4 Mo 2.85
Cd3 0.7500 0.2500 0.7500  4 Tl 2.85, 4 Mo 2.85
Cd4 0.7500 0.7500 0.2500  4 Tl 2.85, 4 Mo 2.85
Mo1 0.0000 0.0000 0.5000  4 Cd 2.85, 4 Mo 2.85
Mo2 0.0000 0.5000 0.0000  4 Cd 2.85, 4 Mo 2.85
Mo3 0.2500 0.2500 0.7500  4 Tl 2.85, 4 Mo 2.85
Mo4 0.2500 0.7500 0.2500  4 Tl 2.85, 4 Mo 2.85
Mo5 0.5000 0.0000 0.0000  4 Cd 2.85, 4 Mo 2.85
Mo6 0.5000 0.5000 0.5000  4 Mo 2.85, 4 Cd 2.85
Mo7 0.7500 0.2500 0.2500  4 Tl 2.85, 4 Mo 2.85
Mo8 0.7500 0.7500 0.7500  4 Mo 2.85, 4 Tl 2.85

Computed properties:
offset from the most stable computed form: 0.103 eV per atom
space group: F-43m (216)